The following is a DFT calculation (GGA-PBE) of a geometry-optimized Li3PdAu12 structure.

a b c (Å): 4.050 4.050 16.551
angles (deg): 90.00 90.00 90.00
Atoms (fractional coordinates):
1 Li 0.000 0.000 0.000
2 Li 0.000 0.000 0.250
3 Li 0.000 0.000 0.750
4 Pd 0.000 0.000 0.500
5 Au 0.000 0.500 0.124
6 Au 0.000 0.500 0.373
7 Au 0.000 0.500 0.627
8 Au 0.000 0.500 0.876
9 Au 0.500 0.000 0.124
10 Au 0.500 0.000 0.373
11 Au 0.500 0.000 0.627
12 Au 0.500 0.000 0.876
13 Au 0.500 0.500 0.000
14 Au 0.500 0.500 0.249
15 Au 0.500 0.500 0.500
16 Au 0.500 0.500 0.751

Output
E, eV for the cell shown: -54.7
Symmetry: P4/mmm, No. 123
N(E_F), states/eV per atom: 0.30
Theoretical density, g/cm³: 15.23



The following is a DFT calculation (GGA-PBE) of a geometry-optimized LiPd6Au2 structure.

a b c (Å): 7.849 7.849 2.883
angles (deg): 95.00 95.00 125.58
Atoms (fractional coordinates):
1 Li 0.000 0.000 0.000
2 Pd 0.170 0.501 0.171
3 Pd 0.324 0.324 0.667
4 Pd 0.499 0.830 0.829
5 Pd 0.501 0.170 0.171
6 Pd 0.676 0.676 0.333
7 Pd 0.830 0.499 0.829
8 Au 0.156 0.844 0.500
9 Au 0.844 0.156 0.500

Output
E, eV for the cell shown: -40.5
Symmetry: C2/m, No. 12
N(E_F), states/eV per atom: 1.52
ΔE to the lowest computed polymorph, kJ/mol of formula units: 36
Theoretical density, g/cm³: 12.17



The following is a DFT calculation (GGA-PBE) of a geometry-optimized LiPd8Au6 structure.

a b c (Å): 10.482 10.482 2.789
angles (deg): 90.00 90.00 120.00
Atoms (fractional coordinates):
1 Li 0.000 0.000 0.000
2 Pd 0.069 0.809 0.262
3 Pd 0.191 0.260 0.262
4 Pd 0.260 0.069 0.738
5 Pd 0.333 0.667 0.743
6 Pd 0.667 0.333 0.257
7 Pd 0.740 0.931 0.262
8 Pd 0.809 0.740 0.738
9 Pd 0.931 0.191 0.738
10 Au 0.091 0.456 0.242
11 Au 0.365 0.909 0.242
12 Au 0.456 0.365 0.758
13 Au 0.544 0.635 0.242
14 Au 0.635 0.091 0.758
15 Au 0.909 0.544 0.758

Output
E, eV for the cell shown: -62.2
Symmetry: P-3, No. 147
N(E_F), states/eV per atom: 1.29
ΔE to the lowest computed polymorph, kJ/mol of formula units: 10
Theoretical density, g/cm³: 12.77



The following is a DFT calculation (GGA-PBE) of a geometry-optimized Li2Pd7Au3 structure.

a b c (Å): 5.064 2.764 13.610
angles (deg): 90.00 90.20 90.00
Atoms (fractional coordinates):
1 Li 0.001 0.000 0.174
2 Li 0.999 0.000 0.826
3 Pd 0.179 0.500 0.671
4 Pd 0.248 0.000 0.999
5 Pd 0.323 0.000 0.329
6 Pd 0.500 0.500 0.500
7 Pd 0.677 0.000 0.671
8 Pd 0.752 0.000 0.001
9 Pd 0.821 0.500 0.329
10 Au 0.000 0.000 0.500
11 Au 0.497 0.500 0.840
12 Au 0.503 0.500 0.160

Output
E, eV for the cell shown: -52.0
Symmetry: P2/m, No. 10
N(E_F), states/eV per atom: 0.99
Theoretical density, g/cm³: 11.77



The following is a DFT calculation (GGA-PBE) of a geometry-optimized LiPdAu4 structure.

a b c (Å): 5.083 5.083 5.615
angles (deg): 118.00 118.00 56.15
Atoms (fractional coordinates):
1 Li 0.000 0.000 0.000
2 Pd 0.000 0.000 0.500
3 Au 0.330 0.330 0.491
4 Au 0.334 0.334 0.995
5 Au 0.666 0.666 0.005
6 Au 0.670 0.670 0.509

Output
E, eV for the cell shown: -21.6
Symmetry: C2/m, No. 12
N(E_F), states/eV per atom: 0.34
ΔE to the lowest computed polymorph, kJ/mol of formula units: 0
Theoretical density, g/cm³: 14.67



The following is a DFT calculation (GGA-PBE) of a geometry-optimized Li2PdAu3 structure.

a b c (Å): 7.454 7.454 2.851
angles (deg): 90.00 90.00 143.00
Atoms (fractional coordinates):
1 Li 0.160 0.840 0.000
2 Li 0.840 0.160 0.000
3 Pd 0.500 0.500 0.000
4 Au 0.000 0.000 0.500
5 Au 0.323 0.677 0.500
6 Au 0.677 0.323 0.500

Output
E, eV for the cell shown: -21.3
Symmetry: Cmmm, No. 65
N(E_F), states/eV per atom: 0.19
ΔE to the lowest computed polymorph, kJ/mol of formula units: 0
Theoretical density, g/cm³: 12.39



The following is a DFT calculation (GGA-PBE) of a geometry-optimized LiPd4Au9 structure.

a b c (Å): 7.976 7.976 8.779
angles (deg): 90.00 90.00 120.00
Atoms (fractional coordinates):
1 Li 0.333 0.667 0.250
2 Li 0.667 0.333 0.750
3 Pd 0.000 0.000 0.000
4 Pd 0.000 0.000 0.500
5 Pd 0.113 0.227 0.750
6 Pd 0.113 0.887 0.750
7 Pd 0.227 0.113 0.250
8 Pd 0.773 0.887 0.750
9 Pd 0.887 0.113 0.250
10 Pd 0.887 0.773 0.250
11 Au 0.044 0.522 0.750
12 Au 0.208 0.416 0.033
13 Au 0.208 0.416 0.467
14 Au 0.208 0.792 0.033
15 Au 0.208 0.792 0.467
16 Au 0.416 0.208 0.533
17 Au 0.416 0.208 0.967
18 Au 0.478 0.522 0.750
19 Au 0.478 0.956 0.750
20 Au 0.522 0.044 0.250
21 Au 0.522 0.478 0.250
22 Au 0.584 0.792 0.033
23 Au 0.584 0.792 0.467
24 Au 0.792 0.208 0.533
25 Au 0.792 0.208 0.967
26 Au 0.792 0.584 0.533
27 Au 0.792 0.584 0.967
28 Au 0.956 0.478 0.250

Output
E, eV for the cell shown: -105.2
Symmetry: P6_3/mmc, No. 194
N(E_F), states/eV per atom: 0.57
Theoretical density, g/cm³: 15.14



The following is a DFT calculation (GGA-PBE) of a geometry-optimized LiPd3Au structure.

a b c (Å): 4.796 4.854 7.426
angles (deg): 70.93 71.49 79.43
Atoms (fractional coordinates):
1 Li 0.247 0.248 0.254
2 Li 0.753 0.752 0.746
3 Pd 0.051 0.254 0.645
4 Pd 0.352 0.752 0.549
5 Pd 0.457 0.247 0.845
6 Pd 0.543 0.753 0.155
7 Pd 0.648 0.248 0.451
8 Pd 0.949 0.746 0.355
9 Au 0.156 0.746 0.947
10 Au 0.844 0.254 0.053

Output
E, eV for the cell shown: -44.0
Symmetry: P-1, No. 2
N(E_F), states/eV per atom: 1.07
ΔE to the lowest computed polymorph, kJ/mol of formula units: 0
Theoretical density, g/cm³: 11.26



The following is a DFT calculation (GGA-PBE) of a geometry-optimized Li3Pd6Au2 structure.

a b c (Å): 5.444 5.463 6.475
angles (deg): 72.90 75.87 77.04
Atoms (fractional coordinates):
1 Li 0.000 0.000 0.000
2 Li 0.442 0.756 0.540
3 Li 0.558 0.244 0.460
4 Pd 0.038 0.227 0.524
5 Pd 0.184 0.426 0.821
6 Pd 0.361 0.070 0.182
7 Pd 0.639 0.930 0.818
8 Pd 0.816 0.574 0.179
9 Pd 0.962 0.773 0.476
10 Au 0.318 0.587 0.162
11 Au 0.682 0.413 0.838

Output
E, eV for the cell shown: -45.9
Symmetry: P-1, No. 2
N(E_F), states/eV per atom: 0.69
Theoretical density, g/cm³: 9.93



The following is a DFT calculation (GGA-PBE) of a geometry-optimized LiPd3Au7 structure.

a b c (Å): 6.912 6.912 6.912
angles (deg): 139.28 104.33 89.70
Atoms (fractional coordinates):
1 Li 0.000 0.000 0.000
2 Pd 0.270 0.770 0.500
3 Pd 0.500 0.500 0.000
4 Pd 0.730 0.230 0.500
5 Au 0.000 0.500 0.500
6 Au 0.090 0.259 0.831
7 Au 0.314 0.000 0.314
8 Au 0.428 0.259 0.169
9 Au 0.572 0.741 0.831
10 Au 0.686 0.000 0.686
11 Au 0.910 0.741 0.169

Output
E, eV for the cell shown: -40.7
Symmetry: Immm, No. 71
N(E_F), states/eV per atom: 0.32
Theoretical density, g/cm³: 14.17



The following is a DFT calculation (GGA-PBE) of a geometry-optimized Li2Pd6Au structure.

a b c (Å): 4.922 4.922 6.839
angles (deg): 111.45 111.45 67.99
Atoms (fractional coordinates):
1 Li 0.148 0.148 0.108
2 Li 0.852 0.852 0.892
3 Pd 0.154 0.676 0.275
4 Pd 0.265 0.265 0.528
5 Pd 0.324 0.846 0.725
6 Pd 0.676 0.154 0.275
7 Pd 0.735 0.735 0.472
8 Pd 0.846 0.324 0.725
9 Au 0.500 0.500 0.000

Output
E, eV for the cell shown: -39.4
Symmetry: C2/m, No. 12
N(E_F), states/eV per atom: 1.22
ΔE to the lowest computed polymorph, kJ/mol of formula units: 60
Theoretical density, g/cm³: 10.23



The following is a DFT calculation (GGA-PBE) of a geometry-optimized Li3Pd2Au6 structure.

a b c (Å): 4.891 6.403 6.407
angles (deg): 106.89 105.05 98.35
Atoms (fractional coordinates):
1 Li 0.000 0.000 0.000
2 Li 0.099 0.803 0.362
3 Li 0.901 0.197 0.638
4 Pd 0.273 0.450 0.090
5 Pd 0.727 0.550 0.910
6 Au 0.180 0.636 0.734
7 Au 0.348 0.258 0.445
8 Au 0.445 0.092 0.812
9 Au 0.555 0.908 0.188
10 Au 0.652 0.742 0.555
11 Au 0.820 0.364 0.266

Output
E, eV for the cell shown: -39.8
Symmetry: P-1, No. 2
N(E_F), states/eV per atom: 0.22
ΔE to the lowest computed polymorph, kJ/mol of formula units: 0
Theoretical density, g/cm³: 13.05



In order of appearance, formation energy = -280 -100 60 -164 -226 -415 -30 -246 -224 -28 -131 -364 meV/atom.